Entry from Alexandria: crystalline IrSeCl2 at its relaxed geometry (PBEsol).

The space group is I4_1/amd (No. 141, origin choice 2) and the conventional cell measures 9.763, 9.763 and 4.600 Å, with angles of 90.00, 90.00 and 90.00 degrees. Symmetry generates all atoms from Ir at (0.000, 0.250, 0.375), Se at (0.000, 0.250, 0.875) and Cl at (0.000, 0.000, 0.500).

The total energy is -66.312 eV for the cell shown. As for the total magnetic moment: 0.00 μB/f.u. The raw formation energy comes out at 6.4 kcal/mol of atoms. As for the theoretical density: 5.2 Mg/m³.

=====

Entry from Alexandria: crystalline IrSeCl2 at its relaxed geometry (PBEsol).

The space group is Immm (No. 71) and the conventional cell measures 3.036, 4.755 and 11.778 Å, with angles of 90.00, 90.00 and 90.00 degrees. Symmetry generates all atoms from Ir at (0.000, 0.000, 0.000), Se at (0.000, 0.000, 0.500) and Cl at (0.000, 0.500, 0.346).

The total energy is -33.940 eV for the cell shown. As for the total magnetic moment: 0.00 μB/f.u. The raw formation energy comes out at 4.1 kcal/mol of atoms. As for the theoretical density: 6.7 Mg/m³.

=====

Entry from Alexandria: crystalline TlIrSeCl2 at its relaxed geometry (PBEsol).

The space group is P4/mmm (No. 123) and the conventional cell measures 4.980, 4.980 and 4.694 Å, with angles of 90.00, 90.00 and 90.00 degrees. Symmetry generates all atoms from Tl at (0.000, 0.000, 0.000), Ir at (0.500, 0.500, 0.500), Se at (0.500, 0.500, 0.000) and Cl at (0.000, 0.500, 0.500).

The total energy is -21.091 eV for the cell shown. As for the total magnetic moment: 0.00 μB/f.u. The raw formation energy comes out at -3.6 kcal/mol of atoms. As for the theoretical density: 7.8 Mg/m³.

=====

> Look up the total magnetic moment of the second one.

0.00 μB/f.u.

=====

> Which formula does entry 2 have?

IrSeCl2

=====

> raw formation energy of number 1 (IrSeCl2)?

6.4 kcal/mol of atoms

=====

> Look up the raw formation energy of the first one.

6.4 kcal/mol of atoms